First-principles (GGA-PBE) data for an optimized crystal structure of Co2BrCl3, as listed in OQMD.

abc: 6.1555 3.5288 6.3664
angles: 90.00 109.91 90.00
Sites, in units of the cell vectors:
Co 0.0000 0.0000 0.0000
Co 0.4945 0.5000 0.9941
Br 0.7506 0.0000 0.2480
Cl 0.2427 0.5000 0.2186
Cl 0.2526 0.0000 0.7746
Cl 0.7542 0.5000 0.7798

DFT total energy: -4.026 eV per atom
volume: 21.67 Å³/atom


First-principles (GGA-PBE) data for an optimized crystal structure of Co2Br3Cl, as listed in OQMD.

abc: 6.3372 3.6589 6.7041
angles: 90.00 108.59 90.00
Sites, in units of the cell vectors:
Co 0.0000 0.0000 0.0000
Co 0.4947 0.5000 0.9954
Br 0.2425 0.5000 0.2322
Br 0.7417 0.0000 0.2253
Br 0.7544 0.5000 0.7675
Cl 0.2613 0.0000 0.7992

polymorph energy (0 for the lowest one): 0.015 eV/atom
volume: 24.56 Å³/atom


First-principles (GGA-PBE) data for an optimized crystal structure of CoCuBrCl3, as listed in OQMD.

abc: 5.6754 5.7345 6.3881
angles: 115.55 116.22 90.08
Sites, in units of the cell vectors:
Co 0.0000 0.0000 0.0000
Cu 0.2553 0.7652 0.5113
Br 0.3639 0.3719 0.2522
Cl 0.1205 0.6679 0.7584
Cl 0.6398 0.0976 0.7559
Cl 0.9109 0.8894 0.2523

DFT total energy: -3.505 eV per atom
volume: 27.25 Å³/atom


First-principles (GGA-PBE) data for an optimized crystal structure of Ga2CoBr2Cl6, as listed in OQMD.

abc: 7.5741 7.5741 5.9664
angles: 94.03 94.03 79.09
Sites, in units of the cell vectors:
Ga 0.1968 0.1968 0.1427
Ga 0.8032 0.8032 0.8573
Co 0.0000 0.0000 0.5000
Br 0.3882 0.3882 0.2630
Br 0.6118 0.6118 0.7370
Cl 0.0778 0.7338 0.7219
Cl 0.1793 0.1793 0.7653
Cl 0.2662 0.9222 0.2781
Cl 0.7338 0.0778 0.7219
Cl 0.8207 0.8207 0.2347
Cl 0.9222 0.2662 0.2781

DFT total energy: -3.384 eV per atom
volume: 30.43 Å³/atom


First-principles (GGA-PBE) data for an optimized crystal structure of Ga2CoBr6Cl2, as listed in OQMD.

abc: 7.9084 7.9084 6.1280
angles: 95.49 95.49 81.20
Sites, in units of the cell vectors:
Ga 0.1969 0.1969 0.1396
Ga 0.8031 0.8031 0.8604
Co 0.0000 0.0000 0.5000
Br 0.0797 0.7307 0.7186
Br 0.2693 0.9203 0.2814
Br 0.3866 0.3866 0.2605
Br 0.6134 0.6134 0.7395
Br 0.7307 0.0797 0.7186
Br 0.9203 0.2693 0.2814
Cl 0.1771 0.1771 0.7698
Cl 0.8229 0.8229 0.2302

DFT total energy: -3.176 eV per atom
volume: 34.16 Å³/atom


First-principles (GGA-PBE) data for an optimized crystal structure of CsCuBr2Cl, as listed in OQMD.

abc: 7.6481 7.6481 7.6481
angles: 121.44 121.44 87.53
Sites, in units of the cell vectors:
Cs 0.2500 0.7500 0.5000
Cs 0.7500 0.2500 0.5000
Cu 0.0000 0.0000 0.0000
Cu 0.5000 0.5000 0.0000
Br 0.2258 0.2258 0.4517
Br 0.2258 0.7742 0.0000
Br 0.7742 0.2258 0.0000
Br 0.7742 0.7742 0.5483
Cl 0.3037 0.3037 0.0000
Cl 0.6963 0.6963 0.0000

DFT total energy: -2.956 eV per atom
volume: 30.91 Å³/atom